Crystalline Ni5Sb at its relaxed geometry, computed with GGA-PBEsol.

a b c (Å): 3.6588 10.5540 3.6309
angles (deg): 90.00 90.00 90.00
Last column: nearest neighbours and their distance in Å.
Space group Cmmm (No. 65)
One atom of each set of equivalent atoms:
Ni 0.0000 0.0000 0.0000 [2 per cell]  8 Ni 2.56-2.58, 4 Sb 2.58
Ni 0.0000 0.1715 0.5000 [4 per cell]  10 Ni 2.45-2.58, 2 Sb 2.57
Ni 0.0000 0.3270 0.0000 [4 per cell]  10 Ni 2.45-2.58, 2 Sb 2.57
Sb 0.0000 0.5000 0.5000 [2 per cell]  12 Ni 2.57-2.58

The density comes out at 9.84 Mg/m³. The formation energy from raw total energies is -105 meV per atom. The value obtained for the final energy is -71.949 eV/cell.